MnHgCl2F | PBE+U | optimized geometry

Unit cell a=5.197 b=5.197 c=4.024 alpha=90.00 beta=90.00 gamma=90.00
Space group P4/mmm (No. 123)
Inequivalent atoms, fractional coordinates:
Mn: 0.000 0.000 0.000
Hg: 0.500 0.500 0.500
Cl: 0.000 0.500 0.000
F: 0.000 0.000 0.500

Calculated values
**Final energy**: -3.85 eV per atom
**M_tot**: 4.88 μB per formula unit